1.
DFT (PBE-GGA) results for a geometry-optimized Tb6Sm12Sn structure.

```
Tb6Sm12Sn
1.0
5.979 3.452 5.082
-5.979 3.452 5.082
0.000 -6.904 5.082
Tb Sm Sn
6 12 1
Cartesian
-3.280 -0.803 7.913 Tb
-0.945 -3.242 7.332 Tb
-2.335 2.440 7.332 Tb
2.335 -2.440 7.913 Tb
0.945 3.242 7.913 Tb
3.280 0.803 7.332 Tb
-5.334 1.405 6.366 Sm
-3.884 -3.917 8.879 Sm
-2.075 -0.012 4.774 Sm
1.450 -5.322 6.366 Sm
1.048 -1.791 4.774 Sm
1.027 1.803 4.774 Sm
-1.027 -1.803 10.471 Sm
-1.048 1.791 10.471 Sm
-1.450 5.322 8.879 Sm
2.075 0.012 10.471 Sm
3.884 3.917 6.366 Sm
5.334 -1.405 8.879 Sm
0.000 0.000 7.623 Sn
```

## Properties
E_form = 0.03 eV per atom
symmetry = R-3, No. 148
magnetic moment = 0.00 μB per cell
V = 33.125 Å³/atom
E_tot = -87.8 eV per cell

***

2.
DFT (PBE-GGA) results for a geometry-optimized Tl4Hg3 structure.

```
Tl4Hg3
1.0
3.545 -1.704 0.000
3.545 1.704 0.000
-0.047 0.000 17.368
Tl Hg
4 3
Cartesian
0.477 0.000 3.568 Tl
1.524 0.000 11.095 Tl
5.518 0.000 6.273 Tl
6.566 0.000 13.800 Tl
2.500 0.000 1.124 Hg
3.521 0.000 8.684 Hg
4.542 0.000 16.245 Hg
```

## Properties
E_form = 0.01 eV per atom
symmetry = C2/m, No. 12
magnetic moment = 0.00 μB per cell
V = 29.968 Å³/atom
E_tot = -10.3 eV per cell
offset from the most stable computed form = 1.23 kJ per mole of atoms

***

3.
DFT (PBE-GGA) results for a geometry-optimized LaCeF6 structure.

```
LaCeF6
1.0
5.623 0.000 0.000
0.000 5.623 0.000
0.000 0.000 8.415
La Ce F
2 2 12
Cartesian
0.000 0.000 0.000 La
0.000 0.000 4.207 La
2.811 2.811 2.104 Ce
2.811 2.811 6.311 Ce
1.111 1.367 1.502 F
1.111 1.367 6.912 F
1.367 4.512 2.705 F
1.367 4.512 5.710 F
1.696 1.844 4.207 F
1.844 3.927 0.000 F
3.778 1.696 0.000 F
3.927 3.778 4.207 F
4.256 1.111 2.705 F
4.256 1.111 5.710 F
4.512 4.256 1.502 F
4.512 4.256 6.912 F
```

## Properties
ΔE_f (raw) = -4.03 eV per atom
symmetry = P4_2/m, No. 84
magnetic moment = 2.00 μB per cell
V = 16.628 Å³/atom
E_tot = -108.6 eV per cell

***

4.
DFT (PBE-GGA) results for a geometry-optimized Ag4GeO5 structure.

```
Ag4GeO5
1.0
-3.509 3.509 2.792
3.509 -3.509 2.792
3.509 3.509 -2.792
Ag Ge O
4 1 5
Cartesian
4.843 0.683 0.000 Ag
0.683 2.176 0.000 Ag
2.826 1.333 2.792 Ag
-1.333 2.826 2.792 Ag
0.000 0.000 2.397 Ge
0.000 0.000 0.544 O
2.908 1.768 0.015 O
1.741 -0.601 2.808 O
1.768 4.110 0.015 O
0.601 1.741 2.808 O
```

## Properties
ΔE_f (raw) = -0.46 eV per atom
symmetry = I4, No. 79
magnetic moment = 0.00 μB per cell
V = 13.755 Å³/atom
E_tot = -45.4 eV per cell

***

5.
DFT (PBE-GGA) results for a geometry-optimized Ga2PbIO8 structure.

```
Ga2PbIO8
1.0
3.301 -3.381 0.000
3.301 3.381 0.000
0.000 0.000 6.493
Ga Pb I O
2 1 1 8
Cartesian
0.000 0.000 1.614 Ga
0.000 0.000 4.879 Ga
3.301 0.000 0.000 Pb
3.301 0.000 3.246 I
1.189 0.000 0.000 O
1.276 0.000 3.246 O
3.301 1.358 1.759 O
3.301 1.358 4.734 O
3.301 -1.358 1.759 O
3.301 -1.358 4.734 O
5.326 0.000 3.246 O
5.413 0.000 0.000 O
```

## Properties
ΔE_f (raw) = -0.96 eV per atom
symmetry = Cmmm, No. 65
magnetic moment = 0.00 μB per cell
V = 12.077 Å³/atom
E_tot = -62.5 eV per cell

***

6.
DFT (PBE-GGA) results for a geometry-optimized Li2MgZn structure.

```
Li2MgZn
1.0
4.478 0.000 0.000
0.000 4.478 0.000
0.000 0.000 3.450
Li Mg Zn
2 1 1
Cartesian
0.000 2.239 0.000 Li
2.239 0.000 0.000 Li
0.000 0.000 1.725 Mg
2.239 2.239 1.725 Zn
```

## Properties
E_form = -0.08 eV per atom
symmetry = P4/mmm, No. 123
magnetic moment = 0.00 μB per cell
V = 17.296 Å³/atom
E_tot = -7.0 eV per cell